(1)
First-principles (PBE-GGA) data for an optimized crystal structure of Zr4CdN, as listed in Alexandria.

Unit cell a=5.154 b=6.711 c=8.499 alpha=115.57 beta=90.00 gamma=90.00
Element x y z (fractional)
1 N 0.000 0.000 0.000
2 Cd 0.500 0.000 0.500
3 Zr 0.750 0.684 0.881
4 Zr 0.265 0.882 0.775
5 Zr 0.765 0.618 0.225
6 Zr 0.750 0.184 0.881
7 Zr 0.735 0.118 0.225
8 N 0.500 0.500 0.000
9 Zr 0.235 0.382 0.775
10 Zr 0.250 0.316 0.119
11 Zr 0.250 0.816 0.119
12 Cd 0.000 0.500 0.500

Crystal system: monoclinic
D(E_F) (states/eV per cell): 10.405

***

(2)
First-principles (PBE-GGA) data for an optimized crystal structure of GdCuSe2ClO6, as listed in Alexandria.

Unit cell a=7.093 b=9.491 c=12.098 alpha=98.20 beta=106.69 gamma=109.82
Element x y z (fractional)
1 Cu 0.583 0.616 0.159
2 O 0.982 0.641 0.521
3 O 0.258 0.433 0.696
4 Gd 0.664 0.913 0.915
5 O 0.984 0.859 0.004
6 O 0.730 0.113 0.803
7 Gd 0.662 0.389 0.430
8 O 0.359 0.991 0.900
9 O 0.389 0.498 0.398
10 O 0.611 0.502 0.602
11 O 0.660 0.724 0.765
12 O 0.644 0.193 0.272
13 O 0.742 0.567 0.304
14 O 0.137 0.227 0.819
15 Cu 0.430 0.861 0.351
16 Cu 0.417 0.384 0.841
17 O 0.641 0.009 0.100
18 Cl 0.414 0.649 0.973
19 Se 0.783 0.595 0.750
20 Se 0.211 0.919 0.746
21 O 0.018 0.359 0.479
22 Cl 0.358 0.126 0.460
23 Se 0.966 0.731 0.405
24 Se 0.020 0.744 0.102
25 O 0.303 0.062 0.679
26 Gd 0.336 0.087 0.085
27 O 0.863 0.773 0.181
28 O 0.340 0.276 0.235
29 Se 0.217 0.405 0.250
30 O 0.356 0.807 0.728
31 Cu 0.570 0.139 0.649
32 Se 0.034 0.269 0.595
33 Cl 0.586 0.351 0.027
34 O 0.270 0.887 0.197
35 O 0.813 0.292 0.620
36 O 0.701 0.470 0.832
37 O 0.016 0.141 0.996
38 O 0.697 0.938 0.321
39 O 0.299 0.530 0.168
40 Se 0.789 0.081 0.254
41 Cl 0.642 0.874 0.540
42 O 0.187 0.708 0.380
43 Gd 0.338 0.611 0.570
44 Se 0.980 0.256 0.898

Crystal system: triclinic

***

(3)
First-principles (PBE-GGA) data for an optimized crystal structure of Tb2GaCl, as listed in Alexandria.

Unit cell a=3.640 b=3.640 c=8.682 alpha=77.90 beta=77.90 gamma=60.00
Element x y z (fractional)
1 Cl 0.499 0.499 0.504
2 Tb 0.082 0.082 0.754
3 Tb 0.252 0.252 0.243
4 Ga 0.667 0.667 0.998

Crystal system: trigonal
Energy relative to the lowest polymorph listed for this composition (kJ/mol of formula units): 0
D(E_F) (states/eV per cell): 1.333

***

(4)
First-principles (PBE-GGA) data for an optimized crystal structure of Ba2HgCl6, as listed in Alexandria.

Unit cell a=6.962 b=8.338 c=9.588 alpha=90.00 beta=92.31 gamma=90.00
Element x y z (fractional)
1 Cl 0.655 0.189 0.944
2 Cl 0.666 0.165 0.556
3 Cl 0.155 0.311 0.444
4 Cl 0.834 0.665 0.944
5 Ba 0.956 0.386 0.744
6 Cl 0.111 0.029 0.755
7 Ba 0.544 0.886 0.756
8 Hg 0.500 0.500 0.000
9 Cl 0.611 0.471 0.255
10 Cl 0.345 0.811 0.056
11 Cl 0.166 0.335 0.056
12 Ba 0.044 0.614 0.256
13 Hg 0.000 0.000 0.500
14 Cl 0.389 0.529 0.745
15 Ba 0.456 0.114 0.244
16 Cl 0.334 0.835 0.444
17 Cl 0.845 0.689 0.556
18 Cl 0.889 0.971 0.245

Crystal system: monoclinic
Energy relative to the lowest polymorph listed for this composition (kJ/mol of formula units): 0
D(E_F) (states/eV per cell): 0.000

***

E_form (uncorrected) values, unit eV/atom, following the record order: -0.374 -1.397 -0.919 -1.872.